Version i
First-principles (GGA-PBE) data for a relaxed structure of Dy2BIr3, as listed in Alexandria via LeMat-Bulk.

## Properties
- Volume: 16.40 Å³ per atom
- SG: No. 166

Structure (extended XYZ):
```
6
Lattice="2.747 1.586 3.764 -2.747 1.586 3.764 0.000 -3.172 3.764" Properties=species:S:1:pos:R:3 pbc="T T T"
Dy 0.000 0.000 1.429
Dy 0.000 0.000 9.864
B 0.000 0.000 5.646
Ir -1.374 -0.793 3.764
Ir -1.374 0.793 7.528
Ir 0.000 1.586 3.764
```

***

Version ii
First-principles (GGA-PBE) data for a relaxed structure of Dy2BIr3, as listed in Alexandria via LeMat-Bulk.

## Properties
- Volume: 17.99 Å³ per atom
- SG: No. 71

Structure (extended XYZ):
```
6
Lattice="-1.602 2.647 6.365 1.602 -2.647 6.365 1.602 2.647 -6.365" Properties=species:S:1:pos:R:3 pbc="T T T"
Dy 0.000 0.000 2.361
Dy 0.000 0.000 10.369
B 0.000 0.000 6.365
Ir 1.602 0.000 0.000
Ir 1.602 0.000 4.954
Ir 0.000 2.647 1.411
```

***

Preferred: version i; penalty for the next structure: 0.394 eV/atom.

***

Version i
First-principles (GGA-PBE) data for a relaxed structure of LiDyB4, as listed in Alexandria via LeMat-Bulk.

## Properties
- Volume: 11.14 Å³ per atom
- SG: No. 216

Structure (extended XYZ):
```
6
Lattice="0.000 3.221 3.221 3.221 0.000 3.221 3.221 3.221 0.000" Properties=species:S:1:pos:R:3 pbc="T T T"
Li 0.000 0.000 0.000
Dy 1.611 1.611 1.611
B 3.833 2.610 2.610
B 2.610 3.833 2.610
B 2.610 2.610 3.833
B 3.833 3.833 3.833
```

***

Version ii
First-principles (GGA-PBE) data for a relaxed structure of LiDyB4, as listed in Alexandria via LeMat-Bulk.

## Properties
- Volume: 10.19 Å³ per atom
- SG: No. 55

Structure (extended XYZ):
```
24
Lattice="5.943 0.000 0.000 0.000 11.342 0.000 0.000 0.000 3.627" Properties=species:S:1:pos:R:3 pbc="T T T"
Li 0.766 0.961 0.000
Li 2.206 6.632 0.000
Li 3.737 4.710 0.000
Li 5.177 10.380 0.000
Dy 0.743 3.953 0.000
Dy 2.229 9.624 0.000
Dy 3.714 1.718 0.000
Dy 5.201 7.388 0.000
B 0.152 9.151 1.813
B 0.685 10.828 1.813
B 0.793 6.007 1.813
B 1.277 7.786 1.813
B 1.695 2.115 1.813
B 2.179 0.336 1.813
B 2.286 5.158 1.813
B 2.820 3.481 1.813
B 3.124 7.861 1.813
B 3.657 6.184 1.813
B 3.764 11.006 1.813
B 4.248 9.226 1.813
B 4.666 3.556 1.813
B 5.150 5.335 1.813
B 5.258 0.513 1.813
B 5.791 2.190 1.813
```

***

Preferred: version ii; penalty for the next structure: 0.838 eV/atom.

***

Version i
First-principles (GGA-PBE) data for a relaxed structure of DyB6Mo2, as listed in Alexandria via LeMat-Bulk.

## Properties
- Volume: 10.42 Å³ per atom
- SG: No. 71

Structure (extended XYZ):
```
9
Lattice="-1.567 3.508 4.264 1.567 -3.508 4.264 1.567 3.508 -4.264" Properties=species:S:1:pos:R:3 pbc="T T T"
Dy 0.000 0.000 0.000
B 1.567 1.814 -1.651
B 1.567 2.312 0.000
B 1.567 1.814 1.651
B 0.000 1.694 2.614
B 0.000 1.196 4.264
B 0.000 1.694 5.915
Mo 1.567 0.000 2.949
Mo 0.000 3.508 1.315
```

***

Version ii
First-principles (GGA-PBE) data for a relaxed structure of DyB6Mo2, as listed in Alexandria via LeMat-Bulk.

## Properties
- Volume: 9.72 Å³ per atom
- SG: No. 191

Structure (extended XYZ):
```
9
Lattice="5.370 0.000 0.000 -2.685 4.651 0.000 0.000 0.000 3.501" Properties=species:S:1:pos:R:3 pbc="T T T"
Dy 0.000 0.000 0.000
B -0.914 1.583 1.751
B -1.772 3.068 1.751
B 1.827 0.000 1.751
B 0.914 1.583 1.751
B 3.543 0.000 1.751
B 1.772 3.068 1.751
Mo 0.000 3.101 0.000
Mo 2.685 1.550 0.000
```

***

Preferred: version i; penalty for the next structure: 0.070 eV/atom.

***

Version i
First-principles (GGA-PBE) data for a relaxed structure of DyNiB4, as listed in Alexandria via LeMat-Bulk.

## Properties
- Volume: 10.08 Å³ per atom
- SG: No. 139

Structure (extended XYZ):
```
24
Lattice="-3.770 3.770 4.255 3.770 -3.770 4.255 3.770 3.770 -4.255" Properties=species:S:1:pos:R:3 pbc="T T T"
Dy 0.000 0.000 1.731
Dy 3.770 0.000 2.128
Dy 0.000 3.770 2.128
Dy 0.000 0.000 6.780
Ni 3.770 2.043 0.000
Ni 2.043 3.770 0.000
Ni 1.727 0.000 4.255
Ni 0.000 1.727 4.255
B 2.077 0.840 0.000
B 5.463 0.840 0.000
B 2.008 2.008 -1.299
B 1.762 -1.762 2.956
B 0.840 2.077 0.000
B 2.930 -1.693 4.255
B 2.008 2.008 1.299
B 1.762 -1.762 5.554
B -1.762 1.762 2.956
B 1.762 1.762 2.956
B 0.840 5.463 0.000
B 2.930 1.693 4.255
B -1.762 1.762 5.554
B 1.762 1.762 5.554
B -1.693 2.930 4.255
B 1.693 2.930 4.255
```

***

Version ii
First-principles (GGA-PBE) data for a relaxed structure of DyNiB4, as listed in Alexandria via LeMat-Bulk.

## Properties
- Volume: 9.66 Å³ per atom
- SG: No. 65

Structure (extended XYZ):
```
12
Lattice="3.639 -4.654 0.000 3.639 4.654 0.000 0.000 0.000 3.422" Properties=species:S:1:pos:R:3 pbc="T T T"
Dy 3.639 2.796 0.000
Dy 3.639 -2.796 0.000
Ni 2.354 0.000 0.000
Ni 4.925 0.000 0.000
B 2.012 1.444 1.711
B 0.926 0.000 1.711
B 3.639 0.853 1.711
B 2.012 -1.444 1.711
B 5.267 1.444 1.711
B 3.639 -0.853 1.711
B 6.353 0.000 1.711
B 5.267 -1.444 1.711
```

***

Preferred: version i; penalty for the next structure: 0.043 eV/atom.